Material: LaMgNi10
Method: DFT, PBE
State: relaxed

Summary:
Total energy in eV per cell: -66.05
Magnetic moment in μB per atom: 0.288
SG: Pmmm, No. 47

The structure in CIF format:
```
data_LaMgNi10
_cell_length_a 3.9967
_cell_length_b 4.8423
_cell_length_c 8.4308
_cell_angle_alpha 90.00
_cell_angle_beta 90.00
_cell_angle_gamma 90.00
_space_group_name_H-M_alt 'P 1'
_space_group_IT_number 1
_space_group_name_Hall 'P 1'
loop_
_atom_site_label
_atom_site_type_symbol
_atom_site_fract_x
_atom_site_fract_y
_atom_site_fract_z
La1 La 0.0000 0.0000 0.0000
Mg1 Mg 0.0000 0.5000 0.5000
Ni1 Ni 0.0000 0.0000 0.3440
Ni2 Ni 0.0000 0.5000 0.8166
Ni3 Ni 0.0000 0.5000 0.1834
Ni4 Ni 0.0000 0.0000 0.6560
Ni5 Ni 0.5000 0.0000 0.5000
Ni6 Ni 0.5000 0.5000 0.0000
Ni7 Ni 0.5000 0.2533 0.2580
Ni8 Ni 0.5000 0.7467 0.7420
Ni9 Ni 0.5000 0.7467 0.2580
Ni10 Ni 0.5000 0.2533 0.7420
```

=====

Material: Na2ZnCdSn
Method: DFT, PBE
State: relaxed

Summary:
Total energy in eV per cell: -7.74
Magnetic moment in μB per atom: 0.000
SG: P4/mmm, No. 123

The structure in CIF format:
```
data_Na2ZnCdSn
_cell_length_a 5.3924
_cell_length_b 5.0079
_cell_length_c 5.3924
_cell_angle_alpha 90.00
_cell_angle_beta 90.00
_cell_angle_gamma 90.00
_space_group_name_H-M_alt 'P 1'
_space_group_IT_number 1
_space_group_name_Hall 'P 1'
loop_
_atom_site_label
_atom_site_type_symbol
_atom_site_fract_x
_atom_site_fract_y
_atom_site_fract_z
Na1 Na 0.0000 0.0000 0.5000
Na2 Na 0.5000 0.0000 0.0000
Zn1 Zn 0.0000 0.0000 0.0000
Sn1 Sn 0.5000 0.5000 0.5000
Cd1 Cd 0.0000 0.5000 0.0000
```

=====

Material: Mg2ZrBr
Method: DFT, PBE
State: relaxed

Summary:
Magnetic moment in μB per atom: 0.000
SG: Cm, No. 8
Raw formation energy in eV/atom: -0.098

The structure in CIF format:
```
data_Mg2ZrBr
_cell_length_a 5.4080
_cell_length_b 5.4080
_cell_length_c 5.7138
_cell_angle_alpha 84.27
_cell_angle_beta 84.27
_cell_angle_gamma 34.37
_space_group_name_H-M_alt 'P 1'
_space_group_IT_number 1
_space_group_name_Hall 'P 1'
loop_
_atom_site_label
_atom_site_type_symbol
_atom_site_fract_x
_atom_site_fract_y
_atom_site_fract_z
Br1 Br 0.2320 0.2320 0.3193
Mg1 Mg 0.0099 0.0099 0.9617
Mg2 Mg 0.7570 0.7570 0.7500
Zr1 Zr 0.5011 0.5011 0.4690
```

=====

Material: Pr8Sm5Mg
Method: DFT, PBE
State: relaxed

Summary:
Total energy in eV per cell: -61.11
Magnetic moment in μB per atom: 0.000
SG: C2, No. 5

The structure in CIF format:
```
data_Pr8Sm5Mg
_cell_length_a 8.7866
_cell_length_b 8.7396
_cell_length_c 8.7866
_cell_angle_alpha 116.05
_cell_angle_beta 117.17
_cell_angle_gamma 96.16
_space_group_name_H-M_alt 'P 1'
_space_group_IT_number 1
_space_group_name_Hall 'P 1'
loop_
_atom_site_label
_atom_site_type_symbol
_atom_site_fract_x
_atom_site_fract_y
_atom_site_fract_z
Pr1 Pr 0.9069 0.5764 0.9468
Pr2 Pr 0.0561 0.1266 0.7138
Pr3 Pr 0.7739 0.3007 0.4179
Pr4 Pr 0.5105 0.2802 0.9372
Pr5 Pr 0.6570 0.7199 0.2303
Pr6 Pr 0.5872 0.8734 0.9295
Pr7 Pr 0.3704 0.4236 0.3305
Pr8 Pr 0.1171 0.6993 0.4732
Sm1 Sm 0.8952 0.2256 0.0198
Sm2 Sm 0.0782 0.0665 0.3220
Sm3 Sm 0.7942 0.7744 0.6696
Sm4 Sm 0.5022 0.0000 0.5022
Sm5 Sm 0.2555 0.9335 0.0117
Mg1 Mg 0.2454 0.5000 0.7454
```

=====

Material: YNbTe2I
Method: DFT, PBE
State: relaxed

Summary:
Magnetic moment in μB per atom: 0.309
SG: P4/mmm, No. 123
Raw formation energy in eV/atom: 0.001

The structure in CIF format:
```
data_YNbTe2I
_cell_length_a 5.4692
_cell_length_b 5.4692
_cell_length_c 5.4666
_cell_angle_alpha 90.00
_cell_angle_beta 90.00
_cell_angle_gamma 90.00
_space_group_name_H-M_alt 'P 1'
_space_group_IT_number 1
_space_group_name_Hall 'P 1'
loop_
_atom_site_label
_atom_site_type_symbol
_atom_site_fract_x
_atom_site_fract_y
_atom_site_fract_z
I1 I 0.0000 0.0000 0.5000
Y1 Y 0.5000 0.5000 0.5000
Nb1 Nb 0.0000 0.0000 0.0000
Te1 Te 0.0000 0.5000 0.0000
Te2 Te 0.5000 0.0000 0.0000
```

=====

Material: Pu3Pd2Au3
Method: DFT, PBE
State: relaxed

Summary:
Total energy in eV per cell: -133.47
Magnetic moment in μB per atom: 2.087
SG: Cmcm, No. 63

The structure in CIF format:
```
data_Pu3Pd2Au3
_cell_length_a 4.2197
_cell_length_b 5.6943
_cell_length_c 16.0753
_cell_angle_alpha 90.00
_cell_angle_beta 90.00
_cell_angle_gamma 111.75
_space_group_name_H-M_alt 'P 1'
_space_group_IT_number 1
_space_group_name_Hall 'P 1'
loop_
_atom_site_label
_atom_site_type_symbol
_atom_site_fract_x
_atom_site_fract_y
_atom_site_fract_z
Pu1 Pu 0.9370 0.8741 0.3945
Pu2 Pu 0.0630 0.1259 0.8945
Pu3 Pu 0.9370 0.8741 0.1055
Pu4 Pu 0.0630 0.1259 0.6055
Pu5 Pu 0.6731 0.3461 0.2500
Pu6 Pu 0.3269 0.6539 0.7500
Pd1 Pd 0.7755 0.5509 0.8777
Pd2 Pd 0.2245 0.4491 0.3777
Pd3 Pd 0.7755 0.5509 0.6223
Pd4 Pd 0.2245 0.4491 0.1223
Au1 Au 0.6299 0.2598 0.4686
Au2 Au 0.3701 0.7402 0.9686
Au3 Au 0.6299 0.2598 0.0314
Au4 Au 0.3701 0.7402 0.5314
Au5 Au 0.3973 0.7946 0.2500
Au6 Au 0.6027 0.2054 0.7500
```

=====

Material: Er5SiPb2
Method: DFT, PBE
State: relaxed

Summary:
Magnetic moment in μB per atom: 0.000
SG: Cmcm, No. 63
Raw formation energy in eV/atom: -0.039

The structure in CIF format:
```
data_Er5SiPb2
_cell_length_a 5.6523
_cell_length_b 8.2104
_cell_length_c 12.6694
_cell_angle_alpha 90.00
_cell_angle_beta 90.00
_cell_angle_gamma 110.13
_space_group_name_H-M_alt 'P 1'
_space_group_IT_number 1
_space_group_name_Hall 'P 1'
loop_
_atom_site_label
_atom_site_type_symbol
_atom_site_fract_x
_atom_site_fract_y
_atom_site_fract_z
Er1 Er 0.9252 0.8505 0.8927
Er2 Er 0.9252 0.8505 0.6073
Er3 Er 0.3036 0.6072 0.4506
Er4 Er 0.3036 0.6072 0.0494
Er5 Er 0.6950 0.3900 0.2500
Er6 Er 0.3050 0.6100 0.7500
Er7 Er 0.6964 0.3928 0.5494
Er8 Er 0.6964 0.3928 0.9506
Er9 Er 0.0748 0.1495 0.1073
Er10 Er 0.0748 0.1495 0.3927
Si1 Si 0.7930 0.5859 0.7500
Si2 Si 0.2070 0.4141 0.2500
Pb1 Pb 0.8703 0.7407 0.3800
Pb2 Pb 0.8703 0.7407 0.1200
Pb3 Pb 0.1297 0.2593 0.6200
Pb4 Pb 0.1297 0.2593 0.8800
```

=====

Material: La2Cu3Sb4Rh
Method: DFT, PBE
State: relaxed

Summary:
Magnetic moment in μB per atom: 0.000
SG: P-4m2, No. 115
Raw formation energy in eV/atom: -0.588

The structure in CIF format:
```
data_La2Cu3Sb4Rh
_cell_length_a 4.6391
_cell_length_b 4.6391
_cell_length_c 10.3295
_cell_angle_alpha 90.00
_cell_angle_beta 90.00
_cell_angle_gamma 90.00
_space_group_name_H-M_alt 'P 1'
_space_group_IT_number 1
_space_group_name_Hall 'P 1'
loop_
_atom_site_label
_atom_site_type_symbol
_atom_site_fract_x
_atom_site_fract_y
_atom_site_fract_z
La1 La 0.5000 0.0000 0.2643
La2 La 0.0000 0.5000 0.7357
Cu1 Cu 0.0000 0.0000 0.5000
Cu2 Cu 0.5000 0.0000 0.8715
Cu3 Cu 0.0000 0.5000 0.1285
Sb1 Sb 0.5000 0.5000 0.0000
Sb2 Sb 0.0000 0.0000 0.0000
Sb3 Sb 0.5000 0.0000 0.6258
Sb4 Sb 0.0000 0.5000 0.3742
Rh1 Rh 0.5000 0.5000 0.5000
```

=====

Material: VSbIrOs2
Method: DFT, PBE
State: relaxed

Summary:
Magnetic moment in μB per atom: 0.000
SG: P4/mmm, No. 123
Raw formation energy in eV/atom: 2.480

The structure in CIF format:
```
data_VSbIrOs2
_cell_length_a 4.7178
_cell_length_b 4.6687
_cell_length_c 4.7178
_cell_angle_alpha 90.00
_cell_angle_beta 90.00
_cell_angle_gamma 90.00
_space_group_name_H-M_alt 'P 1'
_space_group_IT_number 1
_space_group_name_Hall 'P 1'
loop_
_atom_site_label
_atom_site_type_symbol
_atom_site_fract_x
_atom_site_fract_y
_atom_site_fract_z
Sb1 Sb 0.0000 0.0000 0.0000
Ir1 Ir 0.5000 0.5000 0.5000
Os1 Os 0.0000 0.0000 0.5000
Os2 Os 0.5000 0.0000 0.0000
V1 V 0.0000 0.5000 0.0000
```

=====

Material: Ba2ReIr
Method: DFT, PBE
State: relaxed

Summary:
Total energy in eV per cell: -20.49
Magnetic moment in μB per atom: 0.618
SG: C2/m, No. 12

The structure in CIF format:
```
data_Ba2ReIr
_cell_length_a 7.5143
_cell_length_b 5.6589
_cell_length_c 3.5115
_cell_angle_alpha 90.09
_cell_angle_beta 61.99
_cell_angle_gamma 121.21
_space_group_name_H-M_alt 'P 1'
_space_group_IT_number 1
_space_group_name_Hall 'P 1'
loop_
_atom_site_label
_atom_site_type_symbol
_atom_site_fract_x
_atom_site_fract_y
_atom_site_fract_z
Re1 Re 0.5000 0.5000 0.0000
Ir1 Ir 0.0000 0.5000 0.5000
Ba1 Ba 0.0000 0.0000 0.0000
Ba2 Ba 0.5000 0.0000 0.5000
```

=====

Material: HoErIrPb
Method: DFT, PBE
State: relaxed

Summary:
Total energy in eV per cell: -24.50
Magnetic moment in μB per atom: 0.000
SG: P4mm, No. 99

The structure in CIF format:
```
data_HoErIrPb
_cell_length_a 3.4767
_cell_length_b 3.4767
_cell_length_c 7.9824
_cell_angle_alpha 90.00
_cell_angle_beta 90.00
_cell_angle_gamma 90.00
_space_group_name_H-M_alt 'P 1'
_space_group_IT_number 1
_space_group_name_Hall 'P 1'
loop_
_atom_site_label
_atom_site_type_symbol
_atom_site_fract_x
_atom_site_fract_y
_atom_site_fract_z
Ho1 Ho 0.5000 0.5000 0.7751
Er1 Er 0.5000 0.5000 0.3674
Ir1 Ir 0.0000 0.0000 0.5697
Pb1 Pb 0.0000 0.0000 0.0725
```

=====

Material: K2YReSe
Method: DFT, PBE
State: relaxed

Summary:
Magnetic moment in μB per atom: 0.732
SG: P4/mmm, No. 123
Raw formation energy in eV/atom: 0.798

The structure in CIF format:
```
data_K2YReSe
_cell_length_a 5.9185
_cell_length_b 5.4779
_cell_length_c 5.9185
_cell_angle_alpha 90.00
_cell_angle_beta 90.00
_cell_angle_gamma 90.00
_space_group_name_H-M_alt 'P 1'
_space_group_IT_number 1
_space_group_name_Hall 'P 1'
loop_
_atom_site_label
_atom_site_type_symbol
_atom_site_fract_x
_atom_site_fract_y
_atom_site_fract_z
Y1 Y 0.0000 0.5000 0.0000
Re1 Re 0.5000 0.5000 0.5000
K1 K 0.0000 0.0000 0.5000
K2 K 0.5000 0.0000 0.0000
Se1 Se 0.0000 0.0000 0.0000
```

=====

Material: Mg4AlRh
Method: DFT, PBE
State: relaxed

Summary:
Total energy in eV per cell: -16.51
Magnetic moment in μB per atom: 0.000
SG: F-43m, No. 216

The structure in CIF format:
```
data_Mg4AlRh
_cell_length_a 5.4179
_cell_length_b 5.4179
_cell_length_c 5.4179
_cell_angle_alpha 60.00
_cell_angle_beta 60.00
_cell_angle_gamma 60.00
_space_group_name_H-M_alt 'P 1'
_space_group_IT_number 1
_space_group_name_Hall 'P 1'
loop_
_atom_site_label
_atom_site_type_symbol
_atom_site_fract_x
_atom_site_fract_y
_atom_site_fract_z
Mg1 Mg 0.8738 0.3754 0.3754
Mg2 Mg 0.3754 0.3754 0.8738
Mg3 Mg 0.3754 0.8738 0.3754
Mg4 Mg 0.3754 0.3754 0.3754
Al1 Al 0.0000 0.0000 0.0000
Rh1 Rh 0.7500 0.7500 0.7500
```

=====

Material: TlIn2Sb
Method: DFT, PBE
State: relaxed

Summary:
Magnetic moment in μB per atom: 0.000
SG: Pmmm, No. 47
Raw formation energy in eV/atom: 0.020

The structure in CIF format:
```
data_TlIn2Sb
_cell_length_a 3.7060
_cell_length_b 4.0835
_cell_length_c 7.7137
_cell_angle_alpha 90.00
_cell_angle_beta 90.00
_cell_angle_gamma 90.00
_space_group_name_H-M_alt 'P 1'
_space_group_IT_number 1
_space_group_name_Hall 'P 1'
loop_
_atom_site_label
_atom_site_type_symbol
_atom_site_fract_x
_atom_site_fract_y
_atom_site_fract_z
Sb1 Sb 0.5000 0.5000 0.2500
Tl1 Tl 0.5000 0.5000 0.7500
In1 In 0.0000 0.0000 0.0245
In2 In 0.0000 0.0000 0.4755
```

=====

Material: PrSc3Au2
Method: DFT, PBE
State: relaxed

Summary:
Total energy in eV per cell: -67.75
Magnetic moment in μB per atom: 0.000
SG: Pmc2_1, No. 26

The structure in CIF format:
```
data_PrSc3Au2
_cell_length_a 4.7468
_cell_length_b 6.9117
_cell_length_c 8.6195
_cell_angle_alpha 90.00
_cell_angle_beta 90.00
_cell_angle_gamma 90.00
_space_group_name_H-M_alt 'P 1'
_space_group_IT_number 1
_space_group_name_Hall 'P 1'
loop_
_atom_site_label
_atom_site_type_symbol
_atom_site_fract_x
_atom_site_fract_y
_atom_site_fract_z
Pr1 Pr 0.5000 0.5144 0.5692
Pr2 Pr 0.5000 0.0144 0.4308
Sc1 Sc 0.0000 0.4831 0.9376
Sc2 Sc 0.0000 0.9831 0.0624
Sc3 Sc 0.5000 0.6515 0.1641
Sc4 Sc 0.5000 0.1515 0.8359
Sc5 Sc 0.0000 0.3474 0.3136
Sc6 Sc 0.0000 0.8474 0.6864
Au1 Au 0.5000 0.7576 0.8603
Au2 Au 0.5000 0.2576 0.1397
Au3 Au 0.0000 0.2459 0.6638
Au4 Au 0.0000 0.7459 0.3362
```

=====

Material: Ba2PtSe
Method: DFT, PBE
State: relaxed

Summary:
Magnetic moment in μB per atom: 0.000
SG: I-42d, No. 122
Raw formation energy in eV/atom: -1.068

The structure in CIF format:
```
data_Ba2PtSe
_cell_length_a 7.3045
_cell_length_b 7.3045
_cell_length_c 8.7590
_cell_angle_alpha 65.36
_cell_angle_beta 65.36
_cell_angle_gamma 90.00
_space_group_name_H-M_alt 'P 1'
_space_group_IT_number 1
_space_group_name_Hall 'P 1'
loop_
_atom_site_label
_atom_site_type_symbol
_atom_site_fract_x
_atom_site_fract_y
_atom_site_fract_z
Se1 Se 0.5000 0.5000 0.0000
Se2 Se 0.2500 0.7500 0.5000
Ba1 Ba 0.6361 0.1250 0.2500
Ba2 Ba 0.1139 0.6250 0.2500
Ba3 Ba 0.3750 0.3639 0.7500
Ba4 Ba 0.8750 0.8861 0.7500
Pt1 Pt 0.0000 0.0000 0.0000
Pt2 Pt 0.7500 0.2500 0.5000
```

=====

Material: InSn2As2
Method: DFT, PBE
State: relaxed

Summary:
Total energy in eV per cell: -39.32
Magnetic moment in μB per atom: 0.000
SG: P4/mbm, No. 127

The structure in CIF format:
```
data_InSn2As2
_cell_length_a 7.9955
_cell_length_b 7.9955
_cell_length_c 3.8519
_cell_angle_alpha 90.00
_cell_angle_beta 90.00
_cell_angle_gamma 90.00
_space_group_name_H-M_alt 'P 1'
_space_group_IT_number 1
_space_group_name_Hall 'P 1'
loop_
_atom_site_label
_atom_site_type_symbol
_atom_site_fract_x
_atom_site_fract_y
_atom_site_fract_z
As1 As 0.3487 0.8487 0.0000
As2 As 0.8487 0.6513 0.0000
As3 As 0.6513 0.1513 0.0000
As4 As 0.1513 0.3487 0.0000
Sn1 Sn 0.1505 0.6505 0.5000
Sn2 Sn 0.6505 0.8495 0.5000
Sn3 Sn 0.8495 0.3495 0.5000
Sn4 Sn 0.3495 0.1505 0.5000
In1 In 0.0000 0.0000 0.0000
In2 In 0.5000 0.5000 0.0000
```

=====

Material: ZnWS2
Method: DFT, PBE
State: relaxed

Summary:
Magnetic moment in μB per atom: 0.000
SG: R-3m, No. 166
Raw formation energy in eV/atom: -0.264

The structure in CIF format:
```
data_ZnWS2
_cell_length_a 8.8394
_cell_length_b 8.8394
_cell_length_c 8.8394
_cell_angle_alpha 20.52
_cell_angle_beta 20.52
_cell_angle_gamma 20.52
_space_group_name_H-M_alt 'P 1'
_space_group_IT_number 1
_space_group_name_Hall 'P 1'
loop_
_atom_site_label
_atom_site_type_symbol
_atom_site_fract_x
_atom_site_fract_y
_atom_site_fract_z
Zn1 Zn 0.0000 0.0000 0.0000
S1 S 0.8955 0.8955 0.8955
S2 S 0.1045 0.1045 0.1045
W1 W 0.5000 0.5000 0.5000
```

=====

Material: SrLiGa4
Method: DFT, PBE
State: relaxed

Summary:
Total energy in eV per cell: -17.58
Magnetic moment in μB per atom: 0.000
SG: F-43m, No. 216

The structure in CIF format:
```
data_SrLiGa4
_cell_length_a 5.6519
_cell_length_b 5.6519
_cell_length_c 5.6519
_cell_angle_alpha 60.00
_cell_angle_beta 60.00
_cell_angle_gamma 60.00
_space_group_name_H-M_alt 'P 1'
_space_group_IT_number 1
_space_group_name_Hall 'P 1'
loop_
_atom_site_label
_atom_site_type_symbol
_atom_site_fract_x
_atom_site_fract_y
_atom_site_fract_z
Sr1 Sr 0.2500 0.2500 0.2500
Ga1 Ga 0.6257 0.6257 0.1230
Ga2 Ga 0.6257 0.1230 0.6257
Ga3 Ga 0.6257 0.6257 0.6257
Ga4 Ga 0.1230 0.6257 0.6257
Li1 Li 0.0000 0.0000 0.0000
```

=====

Material: Y5HoCd3
Method: DFT, PBE
State: relaxed

Summary:
Total energy in eV per cell: -83.09
Magnetic moment in μB per atom: 0.000
SG: P6_3/mcm, No. 193

The structure in CIF format:
```
data_Y5HoCd3
_cell_length_a 6.9441
_cell_length_b 9.1977
_cell_length_c 9.1976
_cell_angle_alpha 120.00
_cell_angle_beta 90.00
_cell_angle_gamma 90.00
_space_group_name_H-M_alt 'P 1'
_space_group_IT_number 1
_space_group_name_Hall 'P 1'
loop_
_atom_site_label
_atom_site_type_symbol
_atom_site_fract_x
_atom_site_fract_y
_atom_site_fract_z
Y1 Y 0.0000 0.6667 0.3333
Y2 Y 0.5000 0.3333 0.6667
Y3 Y 0.0000 0.3333 0.6667
Y4 Y 0.5000 0.6667 0.3333
Y5 Y 0.7500 0.6679 0.6679
Y6 Y 0.7500 0.0000 0.3321
Y7 Y 0.7500 0.3321 0.0000
Y8 Y 0.2500 0.3321 0.3321
Y9 Y 0.2500 0.0000 0.6679
Y10 Y 0.2500 0.6679 0.0000
Ho1 Ho 0.0000 0.0000 0.0000
Ho2 Ho 0.5000 0.0000 0.0000
Cd1 Cd 0.7500 0.3341 0.3341
Cd2 Cd 0.7500 0.0000 0.6659
Cd3 Cd 0.7500 0.6659 0.0000
Cd4 Cd 0.2500 0.6659 0.6659
Cd5 Cd 0.2500 0.0000 0.3341
Cd6 Cd 0.2500 0.3341 0.0000
```